[1]
The following is a PBE calculation of Rb2PuHgTe4 after structural relaxation, from Alexandria.

a = 7.379 Å, b = 7.379 Å, c = 7.379 Å
α = 106.23°, β = 106.23°, γ = 116.17°
Element x y z (fractional)
Rb: 0.000 0.500 0.500
Rb: 0.500 0.000 0.500
Pu: 0.000 0.000 0.000
Hg: 0.500 0.500 0.000
Te: 0.083 0.083 0.646
Te: 0.438 0.438 0.354
Te: 0.562 0.917 0.000
Te: 0.917 0.562 0.000

space group: I-42m (121)
raw formation energy: -646 meV/atom
magnetic moment: 3.96 Bohr magnetons per cell
Fermi-level density of states: 1.55 states/eV per atom
total DFT energy (no corrections): -34.30 eV for the cell shown



[2]
The following is a PBE calculation of HoHg2Pd3 after structural relaxation, from Alexandria.

a = 7.786 Å, b = 7.786 Å, c = 6.269 Å
α = 90.00°, β = 90.00°, γ = 143.12°
Element x y z (fractional)
Ho: 0.159 0.841 0.000
Ho: 0.841 0.159 0.000
Hg: 0.169 0.831 0.500
Hg: 0.500 0.500 0.000
Hg: 0.500 0.500 0.500
Hg: 0.831 0.169 0.500
Pd: 0.000 0.000 0.267
Pd: 0.000 0.000 0.733
Pd: 0.330 0.670 0.246
Pd: 0.330 0.670 0.754
Pd: 0.670 0.330 0.246
Pd: 0.670 0.330 0.754

space group: Cmmm (65)
E above lowest polymorph: 0 meV/atom
magnetic moment: 0.00 Bohr magnetons per cell
Fermi-level density of states: 0.46 states/eV per atom
formation energy from the elements: -2.98 eV per formula unit
total DFT energy (no corrections): -47.49 eV for the cell shown



[3]
The following is a PBE calculation of LiSb2 after structural relaxation, from Alexandria.

a = 6.385 Å, b = 6.385 Å, c = 6.385 Å
α = 151.48°, β = 141.51°, γ = 48.59°
Element x y z (fractional)
Li: 0.000 0.000 0.000
Sb: 0.375 0.375 0.000
Sb: 0.625 0.625 0.000

space group: Immm (71)
E above lowest polymorph: 86 meV/atom
raw formation energy: -156 meV/atom
magnetic moment: 0.00 Bohr magnetons per cell
Fermi-level density of states: 0.49 states/eV per atom
total DFT energy (no corrections): -10.63 eV for the cell shown



[4]
The following is a PBE calculation of Ho6Sn2BiTe3 after structural relaxation, from Alexandria.

a = 9.804 Å, b = 9.804 Å, c = 8.781 Å
α = 102.73°, β = 102.73°, γ = 25.88°
Element x y z (fractional)
Ho: 0.005 0.005 0.251
Ho: 0.330 0.330 0.424
Ho: 0.333 0.333 0.904
Ho: 0.667 0.667 0.096
Ho: 0.670 0.670 0.576
Ho: 0.995 0.995 0.749
Sn: 0.167 0.167 0.334
Sn: 0.833 0.833 0.666
Bi: 0.500 0.500 0.000
Te: 0.165 0.165 0.834
Te: 0.500 0.500 0.500
Te: 0.835 0.835 0.166

space group: C2/m (12)
raw formation energy: -1051 meV/atom
magnetic moment: 0.00 Bohr magnetons per cell
Fermi-level density of states: 0.17 states/eV per atom
total DFT energy (no corrections): -61.39 eV for the cell shown



[5]
The following is a PBE calculation of NiSn2Pd after structural relaxation, from Alexandria.

a = 4.670 Å, b = 4.670 Å, c = 4.670 Å
α = 60.00°, β = 60.00°, γ = 60.00°
Element x y z (fractional)
Ni: 0.000 0.000 0.000
Sn: 0.250 0.250 0.250
Sn: 0.750 0.750 0.750
Pd: 0.500 0.500 0.500

space group: Fm-3m (225)
E above lowest polymorph: 71 meV/atom
magnetic moment: 0.00 Bohr magnetons per cell
Fermi-level density of states: 0.55 states/eV per atom
formation energy from the elements: -0.60 eV per formula unit
total DFT energy (no corrections): -19.58 eV for the cell shown



[6]
The following is a PBE calculation of MgCrCl6 after structural relaxation, from Alexandria.

a = 6.726 Å, b = 6.726 Å, c = 6.097 Å
α = 90.79°, β = 90.79°, γ = 121.28°
Element x y z (fractional)
Mg: 0.000 0.000 0.000
Cr: 0.000 0.000 0.500
Cl: 0.003 0.278 0.279
Cl: 0.278 0.003 0.279
Cl: 0.282 0.282 0.734
Cl: 0.718 0.718 0.266
Cl: 0.722 0.997 0.721
Cl: 0.997 0.722 0.721

space group: C2/m (12)
E above lowest polymorph: 0 meV/atom
raw formation energy: -1183 meV/atom
magnetic moment: 1.98 Bohr magnetons per cell
Fermi-level density of states: 1.05 states/eV per atom
total DFT energy (no corrections): -31.76 eV for the cell shown